First-principles (PBE with a Hubbard U) data for a relaxed Li2CaNiF6 crystal, as listed in Alexandria via LeMat-Bulk.

The structure in extended XYZ format:
```
10
Lattice="5.285 0.000 0.000 2.636 4.585 0.000 2.629 1.538 4.816" Properties=species:S:1:pos:R:3 pbc="T T T"
Li 0.000 0.000 0.000
Li 5.266 3.050 2.562
Ca 2.634 1.529 0.766
Ni 7.908 4.590 3.020
F 4.396 4.544 4.027
F 3.543 3.329 1.706
F 4.425 1.586 4.017
F 6.357 4.423 1.720
F 6.972 3.074 4.026
F 5.905 1.426 1.707
```

Values from the calculation:
DFT total energy ... -49.42 eV for the cell shown
N(E_F) ... 0.0000 states/eV/atom